(1)
Sc2HPt after structural relaxation. Source: Alexandria via LeMat-Bulk, functional GGA-PBEsol.

Lattice parameters (Å, degrees): 4.4681 4.4681 4.4681 60.00 60.00 60.00
Element x y z (fractional)
Sc1 0.2500 0.2500 0.2500
Sc2 0.7500 0.7500 0.7500
H1 0.0000 0.0000 0.0000
Pt1 0.5000 0.5000 0.5000

Values from the calculation:
As for the symmetry: Fm-3m. The calculation puts the energy above the most stable polymorph in this dataset at 187 meV/atom. Its calculated total energy is -25.5 eV per formula unit. For the total magnetic moment, the calculation gives 0.0 Bohr magnetons per cell.

(2)
Cu3P after structural relaxation. Source: Alexandria via LeMat-Bulk, functional GGA-PBEsol.

Lattice parameters (Å, degrees): 6.8474 6.8474 7.0875 90.00 90.00 120.00
Element x y z (fractional)
Cu1 0.0000 0.0000 0.0948
Cu2 0.0000 0.0000 0.5948
Cu3 0.0000 0.2725 0.3464
Cu4 0.0000 0.3823 0.0000
Cu5 0.0000 0.6177 0.5000
Cu6 0.0000 0.7275 0.8464
Cu7 0.2725 0.0000 0.3464
Cu8 0.2725 0.2725 0.8464
Cu9 0.3333 0.6667 0.2418
Cu10 0.3333 0.6667 0.7418
Cu11 0.3823 0.0000 0.0000
Cu12 0.3823 0.3823 0.5000
Cu13 0.6177 0.0000 0.5000
Cu14 0.6177 0.6177 0.0000
Cu15 0.6667 0.3333 0.2418
Cu16 0.6667 0.3333 0.7418
Cu17 0.7275 0.0000 0.8464
Cu18 0.7275 0.7275 0.3464
P1 0.0000 0.3309 0.6736
P2 0.0000 0.6691 0.1736
P3 0.3309 0.0000 0.6736
P4 0.3309 0.3309 0.1736
P5 0.6691 0.0000 0.1736
P6 0.6691 0.6691 0.6736

Values from the calculation:
The calculation puts the energy of formation from the pure elements at -0.0502 eV per atom. As for the symmetry: P6_3cm. Its calculated total energy is -19.0 eV per formula unit. For the total magnetic moment, the calculation gives 0.0 Bohr magnetons per cell.